# GGA-PBE LaHo2Tl, optimized geometry
# Energy relative to the lowest polymorph listed for this composition (eV per atom): 0.0962
# Energy (eV per atom): -4.199
# Energy of formation from the pure elements (eV/f.u.): -0.35
data_LaHo2Tl
_symmetry_space_group_name_H-M 'R 3 m'
_symmetry_Int_Tables_number 160
_symmetry_space_group_name_Hall 'R 3 -2"'
_cell_length_a 3.6379
_cell_length_b 3.6379
_cell_length_c 33.0555
_cell_angle_alpha 90.00
_cell_angle_beta 90.00
_cell_angle_gamma 120.00
loop_
_atom_site_label
_atom_site_type_symbol
_atom_site_fract_x
_atom_site_fract_y
_atom_site_fract_z
La1 La 0.0000 0.0000 0.0000
Ho1 Ho 0.0000 0.0000 0.5761
Ho2 Ho 0.0000 0.0000 0.7576
Tl1 Tl 0.0000 0.0000 0.1665

---

# GGA-PBE K2TlPbI6, optimized geometry
# Energy relative to the elements, uncorrected (eV per atom): -0.8674
# Energy (eV per atom): -2.624
data_K2TlPbI6
_symmetry_space_group_name_H-M 'R 3'
_symmetry_Int_Tables_number 146
_symmetry_space_group_name_Hall 'R 3'
_cell_length_a 8.6125
_cell_length_b 8.6125
_cell_length_c 22.2702
_cell_angle_alpha 90.00
_cell_angle_beta 90.00
_cell_angle_gamma 120.00
loop_
_atom_site_label
_atom_site_type_symbol
_atom_site_fract_x
_atom_site_fract_y
_atom_site_fract_z
K1 K 0.0000 0.0000 0.0000
K2 K 0.0000 0.0000 0.4988
Tl1 Tl 0.0000 0.0000 0.2063
Pb1 Pb 0.0000 0.0000 0.7053
I1 I 0.0645 0.3453 0.2823
I2 I 0.0636 0.7228 0.7816

---

Q: The lowest energy belongs to which entry?
A: LaHo2Tl

---

Q: Which formula does entry 2 have?
A: K2TlPbI6

---

Q: Among the records above, which one has the highest energy?
A: K2TlPbI6

---

Copy entry 1 word for word.
# GGA-PBE LaHo2Tl, optimized geometry
# Energy relative to the lowest polymorph listed for this composition (eV per atom): 0.0962
# Energy (eV per atom): -4.199
# Energy of formation from the pure elements (eV/f.u.): -0.35
data_LaHo2Tl
_symmetry_space_group_name_H-M 'R 3 m'
_symmetry_Int_Tables_number 160
_symmetry_space_group_name_Hall 'R 3 -2"'
_cell_length_a 3.6379
_cell_length_b 3.6379
_cell_length_c 33.0555
_cell_angle_alpha 90.00
_cell_angle_beta 90.00
_cell_angle_gamma 120.00
loop_
_atom_site_label
_atom_site_type_symbol
_atom_site_fract_x
_atom_site_fract_y
_atom_site_fract_z
La1 La 0.0000 0.0000 0.0000
Ho1 Ho 0.0000 0.0000 0.5761
Ho2 Ho 0.0000 0.0000 0.7576
Tl1 Tl 0.0000 0.0000 0.1665